Computed, not measured: an optimized crystal structure of FeMoF2 at the PBE with a Hubbard U level of DFT.

```
FeMoF2
1.0
1.9281 0.0000 6.5952
-0.9641 1.6698 6.5952
-0.9641 -1.6698 6.5952
F Fe Mo
2 1 1
direct
0.1106 0.1106 0.1106
0.8894 0.8894 0.8894
0.5000 0.5000 0.5000
0.0000 0.0000 0.0000
```

Results
Magnetic moment in μB/cell: 7.11
VASP energy in eV per cell: -19.9